[1]
DFT (GGA-PBE) results for a relaxed LaTb3Nd8 crystal. Values from VASP.

Structure (Quantum ESPRESSO input):
```
&SYSTEM
  ibrav = 0, nat = 12, ntyp = 3
/
ATOMIC_SPECIES
La 138.91 La.upf
Tb 158.93 Tb.upf
Nd 144.24 Nd.upf
CELL_PARAMETERS angstrom
-4.410 4.410 5.807
4.410 -4.410 5.807
4.410 4.410 -5.807
ATOMIC_POSITIONS crystal
La 0.000 0.000 0.000
Tb 0.250 0.750 0.500
Tb 0.500 0.500 0.000
Tb 0.750 0.250 0.500
Nd 0.128 0.128 0.753
Nd 0.247 0.744 0.000
Nd 0.256 0.256 0.502
Nd 0.375 0.375 0.247
Nd 0.625 0.872 0.000
Nd 0.744 0.247 0.000
Nd 0.753 0.753 0.498
Nd 0.872 0.625 0.000
```

Computed properties:
**Calculated volume**: 37.7 Å³ per atom
**Spin magnetization**: 0.00 μB per formula unit
**Calculated formation energy**: 0.562 eV/atom



[2]
DFT (GGA-PBE) results for a relaxed LaTbNd2 crystal. Values from VASP.

Structure (Quantum ESPRESSO input):
```
&SYSTEM
  ibrav = 0, nat = 4, ntyp = 3
/
ATOMIC_SPECIES
La 138.91 La.upf
Tb 158.93 Tb.upf
Nd 144.24 Nd.upf
CELL_PARAMETERS angstrom
3.671 0.000 0.000
0.000 3.671 0.000
0.000 0.000 10.388
ATOMIC_POSITIONS crystal
La 0.000 0.000 0.000
Tb 0.000 0.000 0.500
Nd 0.500 0.500 0.256
Nd 0.500 0.500 0.744
```

Computed properties:
**Calculated volume**: 35.0 Å³ per atom
**Excess energy over the best structure of this formula in the dataset**: 3 meV/atom
**Spin magnetization**: 0.00 μB per formula unit
**Calculated formation energy**: 0.019 eV/atom



[3]
DFT (GGA-PBE) results for a relaxed La7Tb4Nd crystal. Values from VASP.

Structure (Quantum ESPRESSO input):
```
&SYSTEM
  ibrav = 0, nat = 12, ntyp = 3
/
ATOMIC_SPECIES
La 138.91 La.upf
Tb 158.93 Tb.upf
Nd 144.24 Nd.upf
CELL_PARAMETERS angstrom
8.221 -3.064 0.000
8.221 3.064 0.000
-4.623 0.000 8.540
ATOMIC_POSITIONS crystal
La 0.000 0.000 0.000
La 0.278 0.278 0.751
La 0.288 0.288 0.110
La 0.411 0.411 0.543
La 0.589 0.589 0.457
La 0.712 0.712 0.890
La 0.722 0.722 0.249
Tb 0.066 0.066 0.702
Tb 0.168 0.168 0.366
Tb 0.832 0.832 0.634
Tb 0.934 0.934 0.298
Nd 0.500 0.500 0.000
```

Computed properties:
**Calculated volume**: 35.9 Å³ per atom
**Excess energy over the best structure of this formula in the dataset**: 181 meV/atom
**Spin magnetization**: 0.26 μB per formula unit
**Calculated formation energy**: 0.193 eV/atom



[4]
DFT (GGA-PBE) results for a relaxed LaTb8Nd5 crystal. Values from VASP.

Structure (Quantum ESPRESSO input):
```
&SYSTEM
  ibrav = 0, nat = 14, ntyp = 3
/
ATOMIC_SPECIES
La 138.91 La.upf
Tb 158.93 Tb.upf
Nd 144.24 Nd.upf
CELL_PARAMETERS angstrom
8.776 -1.789 0.000
8.776 1.789 0.000
-8.014 0.000 14.980
ATOMIC_POSITIONS crystal
La 0.000 0.000 0.000
Tb 0.081 0.081 0.723
Tb 0.284 0.284 0.354
Tb 0.353 0.353 0.061
Tb 0.421 0.421 0.776
Tb 0.579 0.579 0.224
Tb 0.647 0.647 0.939
Tb 0.716 0.716 0.646
Tb 0.919 0.919 0.277
Nd 0.145 0.145 0.441
Nd 0.214 0.214 0.144
Nd 0.500 0.500 0.500
Nd 0.786 0.786 0.856
Nd 0.855 0.855 0.559
```

Computed properties:
**Calculated volume**: 33.6 Å³ per atom
**Spin magnetization**: 0.00 μB per formula unit
**Calculated formation energy**: 0.040 eV/atom